{
  "formula": "BaY3Ru",
  "functional": "PBE-GGA",
  "state": "relaxed",
  "final_energy_ev_per_atom": -5.85,
  "space_group": "R3m",
  "e_above_lowest_polymorph_mev_per_atom": 435.6,
  "lattice": [[3.5939, 2.0749, 3.5457], [-3.5939, 2.0749, 3.5457], [0.0000, -4.1498, 3.5457]],
  "species": ["Ba", "Y", "Y", "Y", "Ru"],
  "frac_coords": [[0.0000, 0.0000, 0.0000], [0.4139, 0.4139, 0.8935], [0.4139, 0.8935, 0.4139], [0.8935, 0.4139, 0.4139], [0.7375, 0.7375, 0.7375]]
}



{
  "formula": "BaY2Ru",
  "functional": "PBE-GGA",
  "state": "relaxed",
  "final_energy_ev_per_atom": -5.70,
  "space_group": "Fm-3m",
  "e_above_lowest_polymorph_mev_per_atom": 452.7,
  "lattice": [[0.0000, 3.7612, 3.7612], [3.7612, 0.0000, 3.7612], [3.7612, 3.7612, 0.0000]],
  "species": ["Ba", "Y", "Y", "Ru"],
  "frac_coords": [[0.0000, 0.0000, 0.0000], [0.2500, 0.2500, 0.2500], [0.7500, 0.7500, 0.7500], [0.5000, 0.5000, 0.5000]]
}



{
  "formula": "BaYRu",
  "functional": "PBE-GGA",
  "state": "relaxed",
  "final_energy_ev_per_atom": -5.65,
  "space_group": "P3m1",
  "e_above_lowest_polymorph_mev_per_atom": 137.5,
  "lattice": [[4.2918, 0.0000, 0.0000], [-2.1459, 3.7168, 0.0000], [0.0000, 0.0000, 6.4153]],
  "species": ["Ba", "Y", "Ru"],
  "frac_coords": [[0.0000, 0.0000, 0.0000], [0.6667, 0.3333, 0.4699], [0.3333, 0.6667, 0.2981]]
}



{
  "formula": "BaY2Ru2",
  "functional": "PBE-GGA",
  "state": "relaxed",
  "final_energy_ev_per_atom": -6.49,
  "space_group": "I4/mmm",
  "e_above_lowest_polymorph_mev_per_atom": 171.1,
  "lattice": [[-2.4908, 2.4908, 5.7733], [2.4908, -2.4908, 5.7733], [2.4908, 2.4908, -5.7733]],
  "species": ["Ba", "Y", "Y", "Ru", "Ru"],
  "frac_coords": [[0.0000, 0.0000, 0.0000], [0.3404, 0.3404, 0.0000], [0.6596, 0.6596, 0.0000], [0.2500, 0.7500, 0.5000], [0.7500, 0.2500, 0.5000]]
}



{
  "formula": "BaY3Ru",
  "functional": "PBE-GGA",
  "state": "relaxed",
  "final_energy_ev_per_atom": -6.03,
  "space_group": "Fd-3m",
  "e_above_lowest_polymorph_mev_per_atom": 253.7,
  "lattice": [[0.0000, 7.3932, 7.3932], [7.3932, 0.0000, 7.3932], [7.3932, 7.3932, 0.0000]],
  "species": ["Ba", "Ba", "Ba", "Ba", "Y", "Y", "Y", "Y", "Y", "Y", "Y", "Y", "Y", "Y", "Y", "Y", "Ru", "Ru", "Ru", "Ru"],
  "frac_coords": [[0.0000, 0.0000, 0.0000], [0.0000, 0.0000, 0.5000], [0.0000, 0.5000, 0.0000], [0.5000, 0.0000, 0.0000], [0.1974, 0.1974, 0.5526], [0.1974, 0.5526, 0.1974], [0.1974, 0.5526, 0.5526], [0.4474, 0.4474, 0.8026], [0.4474, 0.8026, 0.4474], [0.4474, 0.8026, 0.8026], [0.5526, 0.1974, 0.1974], [0.5526, 0.1974, 0.5526], [0.5526, 0.5526, 0.1974], [0.8026, 0.4474, 0.4474], [0.8026, 0.4474, 0.8026], [0.8026, 0.8026, 0.4474], [0.0000, 0.5000, 0.5000], [0.5000, 0.0000, 0.5000], [0.5000, 0.5000, 0.0000], [0.5000, 0.5000, 0.5000]]
}



{
  "formula": "BaY2Ru",
  "functional": "PBE-GGA",
  "state": "relaxed",
  "final_energy_ev_per_atom": -5.55,
  "space_group": "I-4m2",
  "e_above_lowest_polymorph_mev_per_atom": 602.5,
  "lattice": [[-2.2713, 2.2713, 5.2759], [2.2713, -2.2713, 5.2759], [2.2713, 2.2713, -5.2759]],
  "species": ["Ba", "Y", "Y", "Ru"],
  "frac_coords": [[0.0000, 0.0000, 0.0000], [0.5000, 0.5000, 0.0000], [0.7500, 0.2500, 0.5000], [0.2500, 0.7500, 0.5000]]
}



{
  "formula": "BaY3Ru",
  "functional": "PBE-GGA",
  "state": "relaxed",
  "final_energy_ev_per_atom": -5.87,
  "space_group": "Amm2",
  "e_above_lowest_polymorph_mev_per_atom": 412.6,
  "lattice": [[3.5118, 0.0000, 0.0000], [0.0000, 3.4557, 6.7484], [0.0000, -3.4557, 6.7484]],
  "species": ["Ba", "Y", "Y", "Y", "Ru"],
  "frac_coords": [[0.0000, 0.0000, 0.0000], [0.0000, 0.4201, 0.4201], [0.5000, 0.4788, 0.9735], [0.5000, 0.9735, 0.4788], [0.5000, 0.5833, 0.5833]]
}



{
  "formula": "BaY2Ru",
  "functional": "PBE-GGA",
  "state": "relaxed",
  "final_energy_ev_per_atom": -5.55,
  "space_group": "Cmmm",
  "e_above_lowest_polymorph_mev_per_atom": 602.4,
  "lattice": [[3.4745, -3.7651, 0.0000], [3.4745, 3.7651, 0.0000], [0.0000, 0.0000, 4.1661]],
  "species": ["Ba", "Y", "Y", "Ru"],
  "frac_coords": [[0.0000, 0.0000, 0.0000], [0.0000, 0.5000, 0.5000], [0.5000, 0.0000, 0.5000], [0.5000, 0.5000, 0.0000]]
}



{
  "formula": "BaY3Ru",
  "functional": "PBE-GGA",
  "state": "relaxed",
  "final_energy_ev_per_atom": -4.36,
  "space_group": "Pm-3m",
  "e_above_lowest_polymorph_mev_per_atom": 1924.3,
  "lattice": [[5.4715, 0.0000, 0.0000], [0.0000, 5.4715, 0.0000], [0.0000, 0.0000, 5.4715]],
  "species": ["Ba", "Y", "Y", "Y", "Ru"],
  "frac_coords": [[0.0000, 0.0000, 0.0000], [0.0000, 0.0000, 0.5000], [0.0000, 0.5000, 0.0000], [0.5000, 0.0000, 0.0000], [0.5000, 0.5000, 0.5000]]
}



{
  "formula": "BaY3Ru",
  "functional": "PBE-GGA",
  "state": "relaxed",
  "final_energy_ev_per_atom": -6.13,
  "space_group": "C2/c",
  "e_above_lowest_polymorph_mev_per_atom": 156.8,
  "lattice": [[9.3742, -5.4730, 0.0000], [9.3742, 5.4730, 0.0000], [-1.8949, 0.0000, 7.1924]],
  "species": ["Ba", "Ba", "Ba", "Ba", "Y", "Y", "Y", "Y", "Y", "Y", "Y", "Y", "Y", "Y", "Y", "Y", "Ru", "Ru", "Ru", "Ru"],
  "frac_coords": [[0.1131, 0.8869, 0.7500], [0.3540, 0.6460, 0.2500], [0.6460, 0.3540, 0.7500], [0.8869, 0.1131, 0.2500], [0.1435, 0.4744, 0.9109], [0.1562, 0.4922, 0.4346], [0.1756, 0.1850, 0.0875], [0.1850, 0.1756, 0.5875], [0.4744, 0.1435, 0.4109], [0.4922, 0.1562, 0.9346], [0.5078, 0.8438, 0.0654], [0.5256, 0.8565, 0.5891], [0.8150, 0.8244, 0.4125], [0.8244, 0.8150, 0.9125], [0.8438, 0.5078, 0.5654], [0.8565, 0.5256, 0.0891], [0.0244, 0.6808, 0.1950], [0.3192, 0.9756, 0.3050], [0.6808, 0.0244, 0.6950], [0.9756, 0.3192, 0.8050]]
}



{
  "formula": "BaY3Ru",
  "functional": "PBE-GGA",
  "state": "relaxed",
  "final_energy_ev_per_atom": -5.83,
  "space_group": "R-3c",
  "e_above_lowest_polymorph_mev_per_atom": 451.0,
  "lattice": [[4.8278, 2.7874, 3.8647], [-4.8278, 2.7874, 3.8647], [0.0000, -5.5747, 3.8647]],
  "species": ["Ba", "Ba", "Y", "Y", "Y", "Y", "Y", "Y", "Ru", "Ru"],
  "frac_coords": [[0.0000, 0.0000, 0.0000], [0.5000, 0.5000, 0.5000], [0.0351, 0.7500, 0.4649], [0.2500, 0.5351, 0.9649], [0.4649, 0.0351, 0.7500], [0.5351, 0.9649, 0.2500], [0.7500, 0.4649, 0.0351], [0.9649, 0.2500, 0.5351], [0.2500, 0.2500, 0.2500], [0.7500, 0.7500, 0.7500]]
}



{
  "formula": "BaY3Ru",
  "functional": "PBE-GGA",
  "state": "relaxed",
  "final_energy_ev_per_atom": -5.84,
  "space_group": "I-4m2",
  "e_above_lowest_polymorph_mev_per_atom": 450.3,
  "lattice": [[-3.0937, 3.0937, 9.5426], [3.0937, -3.0937, 9.5426], [3.0937, 3.0937, -9.5426]],
  "species": ["Ba", "Ba", "Y", "Y", "Y", "Y", "Y", "Y", "Ru", "Ru"],
  "frac_coords": [[0.1977, 0.1977, 0.0000], [0.8023, 0.8023, 0.0000], [0.0326, 0.5326, 0.5000], [0.1287, 0.3758, 0.7529], [0.4674, 0.9674, 0.5000], [0.6229, 0.3758, 0.2471], [0.6242, 0.3771, 0.7529], [0.6242, 0.8713, 0.2471], [0.5000, 0.5000, 0.0000], [0.7500, 0.2500, 0.5000]]
}



{
  "formula": "BaY3Ru",
  "functional": "PBE-GGA",
  "state": "relaxed",
  "final_energy_ev_per_atom": -6.23,
  "space_group": "C2/m",
  "e_above_lowest_polymorph_mev_per_atom": 56.1,
  "lattice": [[5.0664, -3.1577, 0.0000], [5.0664, 3.1577, 0.0000], [-1.3607, 0.0000, 10.4380]],
  "species": ["Ba", "Ba", "Y", "Y", "Y", "Y", "Y", "Y", "Ru", "Ru"],
  "frac_coords": [[0.1830, 0.1830, 0.0565], [0.8170, 0.8170, 0.9435], [0.1061, 0.1061, 0.6986], [0.2417, 0.2417, 0.4179], [0.4572, 0.4572, 0.7181], [0.5428, 0.5428, 0.2819], [0.7583, 0.7583, 0.5821], [0.8939, 0.8939, 0.3014], [0.2551, 0.7449, 0.5000], [0.7449, 0.2551, 0.5000]]
}



{
  "formula": "BaY3Ru",
  "functional": "PBE-GGA",
  "state": "relaxed",
  "final_energy_ev_per_atom": -6.12,
  "space_group": "R-3",
  "e_above_lowest_polymorph_mev_per_atom": 165.3,
  "lattice": [[3.3984, 1.9621, 9.2914], [-3.3984, 1.9621, 9.2914], [0.0000, -3.9241, 9.2914]],
  "species": ["Ba", "Ba", "Y", "Y", "Y", "Y", "Y", "Y", "Ru", "Ru"],
  "frac_coords": [[0.1854, 0.1854, 0.1854], [0.8146, 0.8146, 0.8146], [0.1090, 0.7093, 0.3303], [0.2907, 0.6697, 0.8910], [0.3303, 0.1090, 0.7093], [0.6697, 0.8910, 0.2907], [0.7093, 0.3303, 0.1090], [0.8910, 0.2907, 0.6697], [0.3169, 0.3169, 0.3169], [0.6831, 0.6831, 0.6831]]
}



{
  "formula": "BaY2Ru",
  "functional": "PBE-GGA",
  "state": "relaxed",
  "final_energy_ev_per_atom": -5.62,
  "space_group": "I-42d",
  "e_above_lowest_polymorph_mev_per_atom": 539.8,
  "lattice": [[-4.0497, 4.0497, 5.7721], [4.0497, -4.0497, 5.7721], [4.0497, 4.0497, -5.7721]],
  "species": ["Ba", "Ba", "Y", "Y", "Y", "Y", "Ru", "Ru"],
  "frac_coords": [[0.0000, 0.0000, 0.0000], [0.7500, 0.2500, 0.5000], [0.3742, 0.6250, 0.2492], [0.3750, 0.6242, 0.7492], [0.3758, 0.1250, 0.7508], [0.8750, 0.6258, 0.2508], [0.2500, 0.7500, 0.5000], [0.5000, 0.5000, 0.0000]]
}



{
  "formula": "BaY3Ru",
  "functional": "PBE-GGA",
  "state": "relaxed",
  "final_energy_ev_per_atom": -6.24,
  "space_group": "Pm-3m",
  "e_above_lowest_polymorph_mev_per_atom": 49.9,
  "lattice": [[5.5424, 0.0000, 0.0000], [0.0000, 5.5424, 0.0000], [0.0000, 0.0000, 5.5424]],
  "species": ["Ba", "Y", "Y", "Y", "Ru"],
  "frac_coords": [[0.0000, 0.0000, 0.0000], [0.0000, 0.5000, 0.5000], [0.5000, 0.0000, 0.5000], [0.5000, 0.5000, 0.0000], [0.5000, 0.5000, 0.5000]]
}



{
  "formula": "BaY2Ru",
  "functional": "PBE-GGA",
  "state": "relaxed",
  "final_energy_ev_per_atom": -6.01,
  "space_group": "Amm2",
  "e_above_lowest_polymorph_mev_per_atom": 148.5,
  "lattice": [[3.7266, 0.0000, 0.0000], [0.0000, 2.1499, 8.5193], [0.0000, -2.1499, 8.5193]],
  "species": ["Ba", "Y", "Y", "Ru"],
  "frac_coords": [[0.0000, 0.0000, 0.0000], [0.0000, 0.3122, 0.3122], [0.5000, 0.6814, 0.6814], [0.5000, 0.8325, 0.8325]]
}



{
  "formula": "BaY2Ru",
  "functional": "PBE-GGA",
  "state": "relaxed",
  "final_energy_ev_per_atom": -5.97,
  "space_group": "Immm",
  "e_above_lowest_polymorph_mev_per_atom": 188.6,
  "lattice": [[-1.8829, 3.0819, 5.4768], [1.8829, -3.0819, 5.4768], [1.8829, 3.0819, -5.4768]],
  "species": ["Ba", "Y", "Y", "Ru"],
  "frac_coords": [[0.0000, 0.0000, 0.0000], [0.3191, 0.8191, 0.5000], [0.6809, 0.1809, 0.5000], [0.5000, 0.5000, 0.0000]]
}



{
  "formula": "BaY3Ru",
  "functional": "PBE-GGA",
  "state": "relaxed",
  "final_energy_ev_per_atom": -6.23,
  "space_group": "C2/c",
  "e_above_lowest_polymorph_mev_per_atom": 53.3,
  "lattice": [[7.2179, -7.8541, 0.0000], [7.2179, 7.8541, 0.0000], [-1.7022, 0.0000, 6.0821]],
  "species": ["Ba", "Ba", "Ba", "Ba", "Y", "Y", "Y", "Y", "Y", "Y", "Y", "Y", "Y", "Y", "Y", "Y", "Ru", "Ru", "Ru", "Ru"],
  "frac_coords": [[0.0548, 0.2043, 0.0982], [0.2043, 0.0548, 0.5982], [0.7957, 0.9452, 0.4018], [0.9452, 0.7957, 0.9018], [0.1335, 0.6863, 0.4402], [0.1664, 0.5106, 0.8971], [0.3137, 0.8665, 0.0598], [0.3423, 0.4418, 0.4406], [0.4418, 0.3423, 0.9406], [0.4894, 0.8336, 0.6029], [0.5106, 0.1664, 0.3971], [0.5582, 0.6577, 0.0594], [0.6577, 0.5582, 0.5594], [0.6863, 0.1335, 0.9402], [0.8336, 0.4894, 0.1029], [0.8665, 0.3137, 0.5598], [0.3407, 0.6593, 0.7500], [0.3433, 0.6567, 0.2500], [0.6567, 0.3433, 0.7500], [0.6593, 0.3407, 0.2500]]
}



{
  "formula": "BaY3Ru",
  "functional": "PBE-GGA",
  "state": "relaxed",
  "final_energy_ev_per_atom": -6.28,
  "space_group": "P6_3/mmc",
  "e_above_lowest_polymorph_mev_per_atom": 5.4,
  "lattice": [[7.8926, 0.0000, 0.0000], [-3.9463, 6.8352, 0.0000], [0.0000, 0.0000, 6.2120]],
  "species": ["Ba", "Ba", "Y", "Y", "Y", "Y", "Y", "Y", "Ru", "Ru"],
  "frac_coords": [[0.3333, 0.6667, 0.2500], [0.6667, 0.3333, 0.7500], [0.1658, 0.3315, 0.7500], [0.1658, 0.8342, 0.7500], [0.3315, 0.1658, 0.2500], [0.6685, 0.8342, 0.7500], [0.8342, 0.1658, 0.2500], [0.8342, 0.6685, 0.2500], [0.0000, 0.0000, 0.0000], [0.0000, 0.0000, 0.5000]]
}